BeCdTcTe2 at its PBEsol-relaxed geometry. Source: the Alexandria database, functional SCAN. Values from VASP.

E_form (uncorrected) in eV per atom: 1.263
Energy in eV per atom: -27.60
Symmetry: No. 123
D(E_F) in states/eV per cell: 2.0

Structure (Quantum ESPRESSO input):
```
&SYSTEM
  ibrav = 0, nat = 5, ntyp = 4
/
ATOMIC_SPECIES
Be 9.01 Be.upf
Cd 112.41 Cd.upf
Tc 98.00 Tc.upf
Te 127.60 Te.upf
CELL_PARAMETERS angstrom
5.515 0.000 0.000
0.000 5.515 0.000
0.000 0.000 4.325
ATOMIC_POSITIONS crystal
Be 0.000 0.000 0.000
Cd 0.000 0.000 0.500
Tc 0.500 0.500 0.000
Te 0.000 0.500 0.500
Te 0.500 0.000 0.500
```